Record 1
First-principles (PBE) data for a relaxed structure of Pt2SeCl, as listed in Alexandria.

a = 7.744 Å, b = 5.853 Å, c = 2.882 Å
α = 60.47°, β = 111.89°, γ = 138.88°
Atoms (fractional coordinates):
Cl 0.500 0.500 0.000
Pt 0.000 0.000 0.000
Pt 0.500 0.000 0.500
Se 0.000 0.500 0.500

Output
Formation energy (no corrections), eV per formula unit: 0.89
SG: Cmmm



Record 2
First-principles (PBE) data for a relaxed structure of Ca3HgO, as listed in Alexandria.

a = 4.871 Å, b = 4.871 Å, c = 4.871 Å
α = 90.00°, β = 90.00°, γ = 90.00°
Atoms (fractional coordinates):
Ca 0.000 0.500 0.000
Ca 0.000 0.000 0.500
Ca 0.500 0.000 0.000
Hg 0.500 0.500 0.500
O 0.000 0.000 0.000

Output
Formation energy (no corrections), eV per formula unit: -6.94
SG: Pm-3m



Record 3
First-principles (PBE) data for a relaxed structure of DyHRh, as listed in Alexandria.

a = 4.971 Å, b = 4.904 Å, c = 4.967 Å
α = 60.42°, β = 59.98°, γ = 90.00°
Atoms (fractional coordinates):
Dy 0.768 0.683 0.277
Dy 0.268 0.183 0.277
H 0.268 0.683 0.777
H 0.268 0.183 0.777
Rh 0.987 0.433 0.777
Rh 0.548 0.933 0.777

Output
SG: Imma



Record 4
First-principles (PBE) data for a relaxed structure of Th2CdIn9, as listed in Alexandria.

a = 4.713 Å, b = 4.713 Å, c = 14.304 Å
α = 90.00°, β = 90.00°, γ = 90.00°
Atoms (fractional coordinates):
Th 0.000 0.000 0.336
Th 0.000 0.000 0.664
Cd 0.000 0.000 0.000
In 0.500 0.500 0.000
In 0.500 0.500 0.334
In 0.500 0.500 0.666
In 0.500 0.000 0.161
In 0.500 0.000 0.500
In 0.500 0.000 0.839
In 0.000 0.500 0.161
In 0.000 0.500 0.500
In 0.000 0.500 0.839

Output
Formation energy, eV/atom: -0.182
SG: P4/mmm



In the order shown, the computed total energy values come out to -4.1312; -3.6404; -5.8193; -3.5491 eV per atom.
In the order shown, the computed calculated density values come out to 11.21; 4.84; 10.27; 8.41 g cm⁻³.